(1)
The following is a GGA-PBEsol calculation of an optimized crystal structure of ZnSb2TeAu, from the Alexandria database.

Lattice parameters (Å, degrees): 5.3051 5.3051 5.4322 90.00 90.00 90.00
Element x y z (fractional)
Zn  0.0000  0.0000  0.0000
Sb  0.0000  0.5000  0.5000
Sb  0.5000  0.0000  0.5000
Te  0.5000  0.5000  0.0000
Au  0.5000  0.5000  0.5000

**Total moment**: 0.00 μB per formula unit
**Total energy**: -2.902 eV/atom



(2)
The following is a GGA-PBEsol calculation of an optimized crystal structure of In4Te3, from the Alexandria database.

Lattice parameters (Å, degrees): 12.6684 15.3005 4.4636 90.00 90.00 90.00
Element x y z (fractional)
In  0.0240  0.1819  0.0000
In  0.1024  0.4277  0.0000
In  0.1472  0.0315  0.0000
In  0.1568  0.7126  0.0000
In  0.3432  0.2126  0.5000
In  0.3528  0.5315  0.5000
In  0.3976  0.9277  0.5000
In  0.4760  0.6819  0.5000
In  0.5240  0.3181  0.5000
In  0.6024  0.0723  0.5000
In  0.6472  0.4685  0.5000
In  0.6568  0.7874  0.5000
In  0.8432  0.2874  0.0000
In  0.8528  0.9685  0.0000
In  0.8976  0.5723  0.0000
In  0.9760  0.8181  0.0000
Te  0.1337  0.2756  0.5000
Te  0.1358  0.5915  0.5000
Te  0.1482  0.9154  0.5000
Te  0.3518  0.4154  0.0000
Te  0.3642  0.0915  0.0000
Te  0.3663  0.7756  0.0000
Te  0.6337  0.2244  0.0000
Te  0.6358  0.9085  0.0000
Te  0.6482  0.5846  0.0000
Te  0.8518  0.0846  0.5000
Te  0.8642  0.4085  0.5000
Te  0.8663  0.7244  0.5000

**Total moment**: 0.00 μB per formula unit
**Total energy**: -3.465 eV/atom



(3)
The following is a GGA-PBEsol calculation of an optimized crystal structure of CdFeNi6, from the Alexandria database.

Lattice parameters (Å, degrees): 6.1864 6.1864 10.1647 90.00 90.00 109.73
Element x y z (fractional)
Cd  0.0000  0.0000  0.2476
Cd  0.0000  0.0000  0.7524
Cd  0.2445  0.7555  0.5000
Cd  0.7555  0.2445  0.5000
Fe  0.2478  0.7522  0.0000
Fe  0.5000  0.5000  0.2472
Fe  0.5000  0.5000  0.7528
Fe  0.7522  0.2478  0.0000
Ni  0.0000  0.0000  0.0000
Ni  0.0000  0.0000  0.5000
Ni  0.1302  0.3859  0.1186
Ni  0.1302  0.3859  0.8814
Ni  0.1395  0.3841  0.3672
Ni  0.1395  0.3841  0.6328
Ni  0.2557  0.7443  0.2392
Ni  0.2557  0.7443  0.7608
Ni  0.3841  0.1395  0.3672
Ni  0.3841  0.1395  0.6328
Ni  0.3859  0.1302  0.1186
Ni  0.3859  0.1302  0.8814
Ni  0.5000  0.5000  0.0000
Ni  0.5000  0.5000  0.5000
Ni  0.6141  0.8698  0.1186
Ni  0.6141  0.8698  0.8814
Ni  0.6159  0.8605  0.3672
Ni  0.6159  0.8605  0.6328
Ni  0.7443  0.2557  0.2392
Ni  0.7443  0.2557  0.7608
Ni  0.8605  0.6159  0.3672
Ni  0.8605  0.6159  0.6328
Ni  0.8698  0.6141  0.1186
Ni  0.8698  0.6141  0.8814

**Total moment**: 5.52 μB per formula unit
**Total energy**: -5.855 eV/atom



- Among the records above, which one has the highest total energy?
  ZnSb2TeAu



Copy entry 2 word for word.
The following is a GGA-PBEsol calculation of an optimized crystal structure of In4Te3, from the Alexandria database.

Lattice parameters (Å, degrees): 12.6684 15.3005 4.4636 90.00 90.00 90.00
Element x y z (fractional)
In  0.0240  0.1819  0.0000
In  0.1024  0.4277  0.0000
In  0.1472  0.0315  0.0000
In  0.1568  0.7126  0.0000
In  0.3432  0.2126  0.5000
In  0.3528  0.5315  0.5000
In  0.3976  0.9277  0.5000
In  0.4760  0.6819  0.5000
In  0.5240  0.3181  0.5000
In  0.6024  0.0723  0.5000
In  0.6472  0.4685  0.5000
In  0.6568  0.7874  0.5000
In  0.8432  0.2874  0.0000
In  0.8528  0.9685  0.0000
In  0.8976  0.5723  0.0000
In  0.9760  0.8181  0.0000
Te  0.1337  0.2756  0.5000
Te  0.1358  0.5915  0.5000
Te  0.1482  0.9154  0.5000
Te  0.3518  0.4154  0.0000
Te  0.3642  0.0915  0.0000
Te  0.3663  0.7756  0.0000
Te  0.6337  0.2244  0.0000
Te  0.6358  0.9085  0.0000
Te  0.6482  0.5846  0.0000
Te  0.8518  0.0846  0.5000
Te  0.8642  0.4085  0.5000
Te  0.8663  0.7244  0.5000

**Total moment**: 0.00 μB per formula unit
**Total energy**: -3.465 eV/atom